(1)
Below is Zn4Ga5Ag2 after structural relaxation, with properties calculated at the PBE-GGA level.

a = 8.793 Å, b = 8.793 Å, c = 4.928 Å
α = 105.64°, β = 105.64°, γ = 32.15°
Fractional positions:
Zn (0.025, 0.025, 0.279)
Zn (0.334, 0.334, 0.297)
Zn (0.666, 0.666, 0.703)
Zn (0.975, 0.975, 0.721)
Ga (0.161, 0.161, 0.058)
Ga (0.242, 0.242, 0.665)
Ga (0.500, 0.500, 0.500)
Ga (0.758, 0.758, 0.335)
Ga (0.839, 0.839, 0.942)
Ag (0.412, 0.412, 0.887)
Ag (0.588, 0.588, 0.113)

## Properties
Energy of formation: 33 meV/atom
Electronic total energy: -25.57 eV per cell
V: 194.60 Å³/cell

(2)
Below is PdBrCl2 after structural relaxation, with properties calculated at the PBE-GGA level.

a = 4.878 Å, b = 4.878 Å, c = 4.878 Å
α = 60.00°, β = 60.00°, γ = 60.00°
Fractional positions:
Pd (0.000, 0.000, 0.000)
Br (0.500, 0.500, 0.500)
Cl (0.250, 0.250, 0.250)
Cl (0.750, 0.750, 0.750)

## Properties
Electronic total energy: -8.26 eV per cell
Raw formation energy: 0.57 eV/atom
V: 82.08 Å³/cell

(3)
Below is SrCrPCl2 after structural relaxation, with properties calculated at the PBE-GGA level.

a = 4.894 Å, b = 4.894 Å, c = 4.777 Å
α = 90.00°, β = 90.00°, γ = 90.00°
Fractional positions:
Sr (0.000, 0.000, 0.000)
Cr (0.500, 0.500, 0.500)
P (0.500, 0.500, 0.000)
Cl (0.000, 0.500, 0.500)
Cl (0.500, 0.000, 0.500)

## Properties
Electronic total energy: -25.19 eV per cell
Raw formation energy: -0.96 eV/atom
V: 114.40 Å³/cell